Here is crystalline Pm3HgAu4 at its relaxed geometry from Alexandria via LeMat-Bulk. Energies are from PBE-GGA.

Cell and atoms, written as POSCAR:
```
Pm3HgAu4
1.0
8.1497 -1.9903 0.0000
8.1497 1.9903 0.0000
-3.2282 0.0000 6.5093
Pm Hg Au
3 1 4
Direct
0.0000 0.0000 0.0000
0.1850 0.1850 0.6845
0.8150 0.8150 0.3155
0.5000 0.5000 0.5000
0.3663 0.3663 0.0624
0.3669 0.3669 0.6712
0.6331 0.6331 0.3288
0.6337 0.6337 0.9376
```

The formation energy is -4.97 eV per formula unit. For the density of states at the Fermi level, the calculation gives 5.91 states/eV/cell. The value obtained for the energy above the most stable polymorph in this dataset is 37.2 kJ/mol of formula units.